# CsSrFeO3

A geometry-optimized CsSrFeO3 structure (PBE with a Hubbard U, Alexandria).

```
data_CsSrFeO3
_chemical_formula_sum 'Cs4 Sr4 Fe4 O12'
_symmetry_space_group_name_H-M 'C m c m'
_symmetry_Int_Tables_number 63
_symmetry_space_group_name_Hall '-C 2c 2'
_cell_length_a 3.6611
_cell_length_b 13.5202
_cell_length_c 10.7085
_cell_angle_alpha 90.00
_cell_angle_beta 90.00
_cell_angle_gamma 90.00
loop_
_atom_site_label
_atom_site_fract_x
_atom_site_fract_y
_atom_site_fract_z
Cs1 0.0000 0.2447 0.2500
Sr1 0.0000 0.0000 0.0000
Fe1 0.0000 0.4804 0.7500
O1 0.0000 0.0479 0.7500
O2 0.0000 0.4066 0.6038
```

Output
Crystal system   orthorhombic
DFT total energy   -34.2 eV/f.u.